No. 1
An optimized crystal structure of AlBRh. Source: Alexandria via LeMat-Bulk, functional GGA-PBE.

The structure in POSCAR format:
```
AlBRh
1.0
1.5672 -5.7686 0.0000
1.5672 5.7686 0.0000
0.0000 0.0000 3.9085
Al B Rh
2 2 2
direct
0.0828 0.9172 0.7500
0.9172 0.0828 0.2500
0.2589 0.7411 0.2500
0.7411 0.2589 0.7500
0.3683 0.6317 0.7500
0.6317 0.3683 0.2500
```

Results
Formation energy from the elements ... -0.567 eV per formula unit
Total magnetization ... 0.000 μB/cell



No. 2
An optimized crystal structure of K3Pu2CdO9. Source: Alexandria via LeMat-Bulk, functional GGA-PBE.

The structure in POSCAR format:
```
K3Pu2CdO9
1.0
6.0390 0.0000 0.0000
-3.0195 5.2299 0.0000
0.0000 0.0000 7.4464
K Pu Cd O
3 2 1 9
direct
0.0000 0.0000 0.0000
0.3333 0.6667 0.6546
0.6667 0.3333 0.3454
0.3333 0.6667 0.1643
0.6667 0.3333 0.8357
0.0000 0.0000 0.5000
0.0000 0.5000 0.0000
0.1780 0.3559 0.3157
0.1780 0.8220 0.3157
0.3559 0.1780 0.6843
0.5000 0.0000 0.0000
0.5000 0.5000 0.0000
0.6441 0.8220 0.3157
0.8220 0.1780 0.6843
0.8220 0.6441 0.6843
```

Results
Total magnetization ... 3.000 μB/cell
E ... -7.29 eV per atom



No. 3
An optimized crystal structure of Tl3Cr3CoSe8. Source: Alexandria via LeMat-Bulk, functional GGA-PBE.

The structure in POSCAR format:
```
Tl3Cr3CoSe8
1.0
6.4505 -3.7222 0.0000
6.4505 3.7222 0.0000
-4.3063 0.0000 7.5417
Tl Cr Co Se
3 3 1 8
direct
0.0000 0.0000 0.0000
0.0000 0.5000 0.0000
0.5000 0.0000 0.0000
0.0000 0.5000 0.5000
0.5000 0.0000 0.5000
0.5000 0.5000 0.5000
0.0000 0.0000 0.5000
0.2177 0.2177 0.6723
0.2178 0.7371 0.6722
0.2629 0.7822 0.3278
0.2736 0.2736 0.3211
0.7264 0.7264 0.6789
0.7371 0.2178 0.6722
0.7822 0.2629 0.3278
0.7823 0.7823 0.3277
```

Results
Total magnetization ... 8.199 μB/cell
E ... -5.15 eV per atom



No. 4
An optimized crystal structure of Sb2S3Br. Source: Alexandria via LeMat-Bulk, functional GGA-PBE.

The structure in POSCAR format:
```
Sb2S3Br
1.0
3.8975 2.2502 6.9262
-3.8975 2.2502 6.9262
0.0000 -4.5004 6.9262
Sb S Br
4 6 2
direct
0.0000 0.0000 0.0000
0.0000 0.5000 0.5000
0.5000 0.0000 0.5000
0.5000 0.5000 0.0000
0.2265 0.2265 0.7602
0.2265 0.7602 0.2265
0.2398 0.7735 0.7735
0.7602 0.2265 0.2265
0.7735 0.2398 0.7735
0.7735 0.7735 0.2398
0.2436 0.2436 0.2436
0.7564 0.7564 0.7564
```

Results
Total magnetization ... 0.000 μB/cell
ΔE to the lowest computed polymorph ... 2.70 kJ per mole of atoms



No. 5
An optimized crystal structure of Cs3TiCl6. Source: Alexandria via LeMat-Bulk, functional GGA-PBE.

The structure in POSCAR format:
```
Cs3TiCl6
1.0
0.0000 5.7064 5.7064
5.7064 0.0000 5.7064
5.7064 5.7064 0.0000
Cs Ti Cl
3 1 6
direct
0.0000 0.0000 0.0000
0.2500 0.2500 0.2500
0.7500 0.7500 0.7500
0.5000 0.5000 0.5000
0.2864 0.2864 0.7136
0.2864 0.7136 0.2864
0.2864 0.7136 0.7136
0.7136 0.2864 0.2864
0.7136 0.2864 0.7136
0.7136 0.7136 0.2864
```

Results
Total magnetization ... 1.000 μB/cell
ΔE to the lowest computed polymorph ... 3.13 kJ per mole of atoms



No. 6
An optimized crystal structure of YAlTl3. Source: Alexandria via LeMat-Bulk, functional GGA-PBE.

The structure in POSCAR format:
```
YAlTl3
1.0
5.3083 0.0000 0.0000
0.0000 5.3083 0.0000
0.0000 0.0000 5.3083
Y Al Tl
1 1 3
direct
0.0000 0.0000 0.0000
0.5000 0.5000 0.5000
0.0000 0.5000 0.5000
0.5000 0.0000 0.5000
0.5000 0.5000 0.0000
```

Results
Formation energy from the elements ... 1.412 eV per formula unit
Total magnetization ... 0.000 μB/cell
ΔE to the lowest computed polymorph ... 0.00 kJ per mole of atoms



No. 7
An optimized crystal structure of GdTmAlPt. Source: Alexandria via LeMat-Bulk, functional GGA-PBE.

The structure in POSCAR format:
```
GdTmAlPt
1.0
0.0000 3.5485 3.5485
3.5485 0.0000 3.5485
3.5485 3.5485 0.0000
Gd Tm Al Pt
1 1 1 1
direct
0.0000 0.0000 0.0000
0.5000 0.5000 0.5000
0.2500 0.2500 0.2500
0.7500 0.7500 0.7500
```

Results
Formation energy from the elements ... -2.946 eV per formula unit
Total magnetization ... 7.082 μB/cell



No. 8
An optimized crystal structure of Ca2Ga3CuPd4. Source: Alexandria via LeMat-Bulk, functional GGA-PBE.

The structure in POSCAR format:
```
Ca2Ga3CuPd4
1.0
4.1903 0.0000 0.0000
0.0000 4.1903 0.0000
0.0000 0.0000 10.7908
Ca Ga Cu Pd
2 3 1 4
direct
0.0000 0.5000 0.2402
0.5000 0.0000 0.7598
0.0000 0.0000 0.0000
0.0000 0.5000 0.6324
0.5000 0.0000 0.3676
0.5000 0.5000 0.0000
0.0000 0.0000 0.5000
0.0000 0.5000 0.8618
0.5000 0.0000 0.1382
0.5000 0.5000 0.5000
```

Results
Formation energy from the elements ... -6.598 eV per formula unit
Total magnetization ... 0.000 μB/cell